# GGA-PBE DyZn4Ir2, relaxed
# Formation energy from the elements: -267 kJ/mol of formula units
# Volume: 17.0 A^3/atom
# N(E_F): 0.2795 states/eV/atom
data_DyZn4Ir2
_cell_length_a 7.613
_cell_length_b 7.613
_cell_length_c 4.113
_cell_angle_alpha 90.00
_cell_angle_beta 90.00
_cell_angle_gamma 90.00
_space_group_name_H-M_alt 'P 42/m n m'
_space_group_IT_number 136
_space_group_name_Hall '-P 4n 2n'
loop_
_atom_site_label
_atom_site_fract_x
_atom_site_fract_y
_atom_site_fract_z
_atom_site_occupancy
Dy1 0.000 0.000 0.000 1
Zn1 0.095 0.349 0.500 1
Ir1 0.212 0.788 0.500 1

***

# GGA-PBE AcY2Co, relaxed
# Formation energy from the elements: -26 kJ/mol of formula units
# Volume: 28.8 A^3/atom
# N(E_F): 1.3738 states/eV/atom
data_AcY2Co
_cell_length_a 3.768
_cell_length_b 12.527
_cell_length_c 9.773
_cell_angle_alpha 90.00
_cell_angle_beta 90.00
_cell_angle_gamma 90.00
_space_group_name_H-M_alt 'C m c m'
_space_group_IT_number 63
_space_group_name_Hall '-C 2c 2'
loop_
_atom_site_label
_atom_site_fract_x
_atom_site_fract_y
_atom_site_fract_z
_atom_site_occupancy
Ac1 0.000 0.084 0.250 1
Y1 0.000 0.354 0.075 1
Co1 0.000 0.242 0.750 1

***

# GGA-PBE BiPNCl2, relaxed
# Energy relative to the elements, uncorrected: 0.849 eV per atom
# Volume: 18.0 A^3/atom
# N(E_F): 0.5121 states/eV/atom
data_BiPNCl2
_cell_length_a 4.376
_cell_length_b 4.376
_cell_length_c 4.705
_cell_angle_alpha 90.00
_cell_angle_beta 90.00
_cell_angle_gamma 90.00
_space_group_name_H-M_alt 'P 4/m m m'
_space_group_IT_number 123
_space_group_name_Hall '-P 4 2'
loop_
_atom_site_label
_atom_site_fract_x
_atom_site_fract_y
_atom_site_fract_z
_atom_site_occupancy
Bi1 0.000 0.000 0.000 1
P1 0.500 0.500 0.000 1
N1 0.500 0.500 0.500 1
Cl1 0.000 0.500 0.500 1

***

> Among the records above, which one has the lowest N(E_F)?

DyZn4Ir2

***

Copy entry 2 word for word.
# GGA-PBE AcY2Co, relaxed
# Formation energy from the elements: -26 kJ/mol of formula units
# Volume: 28.8 A^3/atom
# N(E_F): 1.3738 states/eV/atom
data_AcY2Co
_cell_length_a 3.768
_cell_length_b 12.527
_cell_length_c 9.773
_cell_angle_alpha 90.00
_cell_angle_beta 90.00
_cell_angle_gamma 90.00
_space_group_name_H-M_alt 'C m c m'
_space_group_IT_number 63
_space_group_name_Hall '-C 2c 2'
loop_
_atom_site_label
_atom_site_fract_x
_atom_site_fract_y
_atom_site_fract_z
_atom_site_occupancy
Ac1 0.000 0.084 0.250 1
Y1 0.000 0.354 0.075 1
Co1 0.000 0.242 0.750 1

***

> Which of these has the highest volume?

AcY2Co

***

> Which of these has the highest volume?

AcY2Co